Record 1
# NaCr2CdF6 | Alexandria via LeMat-Bulk | PBE+U | relaxed
data_NaCr2CdF6
_chemical_formula_sum 'Na1 Cr2 Cd1 F6'
_cell_length_a 5.809
_cell_length_b 5.833
_cell_length_c 5.861
_cell_angle_alpha 119.13
_cell_angle_beta 93.48
_cell_angle_gamma 116.39
_symmetry_space_group_name_H-M 'P 1'
_symmetry_Int_Tables_number 1
loop_
_symmetry_equiv_pos_as_xyz
'x,y,z'
loop_
_atom_site_label
_atom_site_type_symbol
_atom_site_fract_x
_atom_site_fract_y
_atom_site_fract_z
Na1 Na 0.000 0.000 0.000
Cr1 Cr 0.221 0.444 0.781
Cr2 Cr 0.721 0.435 0.288
Cd1 Cd 0.472 0.958 0.525
F1 F 0.066 0.978 0.566
F2 F 0.341 0.897 0.023
F3 F 0.442 0.487 0.111
F4 F 0.603 0.537 0.627
F5 F 0.858 0.327 0.965
F6 F 0.982 0.346 0.433
# Fermi-level density of states = 1.92 states/eV/cell

=====

Record 2
## Na2CrCdF8 (PBE+U)

Data for Na2CrCdF8 after structural relaxation.

The structure in CIF format:
```
data_Na2CrCdF8
_chemical_formula_sum 'Na2 Cr1 Cd1 F8'
_cell_length_a 5.030
_cell_length_b 6.915
_cell_length_c 5.053
_cell_angle_alpha 90.00
_cell_angle_beta 91.94
_cell_angle_gamma 90.00
_symmetry_space_group_name_H-M 'P 1 2/m 1'
_symmetry_Int_Tables_number 10
loop_
_symmetry_equiv_pos_as_xyz
'x,y,z'
'-x,-y,-z'
'-x,y,-z'
'x,-y,z'
loop_
_atom_site_label
_atom_site_type_symbol
_atom_site_fract_x
_atom_site_fract_y
_atom_site_fract_z
Na1 Na 0.000 0.248 0.000
Cr1 Cr 0.500 0.000 0.500
Cd1 Cd 0.500 0.500 0.500
F1 F 0.203 0.500 0.202
F2 F 0.238 0.000 0.237
F3 F 0.321 0.197 0.678
```

=====

Record 3
## Na2CrCdF6 (PBE+U)

Data for Na2CrCdF6 after structural relaxation.

The structure in CIF format:
```
data_Na2CrCdF6
_chemical_formula_sum 'Na4 Cr2 Cd2 F12'
_cell_length_a 5.634
_cell_length_b 5.823
_cell_length_c 10.062
_cell_angle_alpha 90.00
_cell_angle_beta 121.63
_cell_angle_gamma 90.00
_symmetry_space_group_name_H-M 'P 1 21/c 1'
_symmetry_Int_Tables_number 14
loop_
_symmetry_equiv_pos_as_xyz
'x,y,z'
'-x,-y,-z'
'-x,y+1/2,-z+1/2'
'x,-y+1/2,z+1/2'
loop_
_atom_site_label
_atom_site_type_symbol
_atom_site_fract_x
_atom_site_fract_y
_atom_site_fract_z
Na1 Na 0.219 0.056 0.239
Cr1 Cr 0.000 0.000 0.500
Cd1 Cd 0.500 0.000 0.000
F1 F 0.110 0.208 0.935
F2 F 0.206 0.687 0.919
F3 F 0.396 0.074 0.759
```

=====

Record 4
# CrCdOF2 | Alexandria via LeMat-Bulk | PBE+U | relaxed
data_CrCdOF2
_chemical_formula_sum 'Cr1 Cd1 O1 F2'
_cell_length_a 4.299
_cell_length_b 4.299
_cell_length_c 4.351
_cell_angle_alpha 90.00
_cell_angle_beta 90.00
_cell_angle_gamma 90.00
_symmetry_space_group_name_H-M 'P 4/m m m'
_symmetry_Int_Tables_number 123
_symmetry_space_group_name_Hall '-P 4 2'
loop_
_atom_site_label
_atom_site_type_symbol
_atom_site_fract_x
_atom_site_fract_y
_atom_site_fract_z
Cr1 Cr 0.000 0.000 0.000
Cd1 Cd 0.500 0.500 0.500
O1 O 0.500 0.500 0.000
F1 F 0.000 0.500 0.500
# Fermi-level density of states = 2.59 states/eV/cell
# Relative energy among the computed polymorphs = 59.3 kJ/mol of atoms

=====

Record 5
# CrCdOF2 | Alexandria via LeMat-Bulk | PBE+U | relaxed
data_CrCdOF2
_chemical_formula_sum 'Cr1 Cd1 O1 F2'
_cell_length_a 4.038
_cell_length_b 4.038
_cell_length_c 4.031
_cell_angle_alpha 90.00
_cell_angle_beta 90.00
_cell_angle_gamma 90.00
_symmetry_space_group_name_H-M 'P 4/m m m'
_symmetry_Int_Tables_number 123
_symmetry_space_group_name_Hall '-P 4 2'
loop_
_atom_site_label
_atom_site_type_symbol
_atom_site_fract_x
_atom_site_fract_y
_atom_site_fract_z
Cr1 Cr 0.000 0.000 0.000
Cd1 Cd 0.500 0.500 0.500
O1 O 0.000 0.000 0.500
F1 F 0.000 0.500 0.000
# Fermi-level density of states = 1.85 states/eV/cell
# Relative energy among the computed polymorphs = 0.0 kJ/mol of atoms

=====

Record 6
# CrCdPbF6 | Alexandria via LeMat-Bulk | PBE+U | relaxed
data_CrCdPbF6
_chemical_formula_sum 'Cr2 Cd2 Pb2 F12'
_cell_length_a 5.7980
_cell_length_b 5.7980
_cell_length_c 10.3419
_cell_angle_alpha 90.00
_cell_angle_beta 90.00
_cell_angle_gamma 120.00
_symmetry_space_group_name_H-M 'P -3 1 c'
_symmetry_Int_Tables_number 163
_symmetry_space_group_name_Hall '-P 3 2c'
loop_
_atom_site_label
_atom_site_type_symbol
_atom_site_fract_x
_atom_site_fract_y
_atom_site_fract_z
Cr1 Cr 0.3333 0.6667 0.2500
Cd1 Cd 0.3333 0.6667 0.7500
Pb1 Pb 0.0000 0.0000 0.0000
F1 F 0.0218 0.3640 0.1396
# Fermi-level density of states = 10.08 states/eV/cell

=====

Record 7
# Rb3Cr2CdF9 | Alexandria via LeMat-Bulk | PBE+U | relaxed
data_Rb3Cr2CdF9
_chemical_formula_sum 'Rb3 Cr2 Cd1 F9'
_cell_length_a 6.1385
_cell_length_b 6.1385
_cell_length_c 7.5301
_cell_angle_alpha 90.00
_cell_angle_beta 90.00
_cell_angle_gamma 120.00
_symmetry_space_group_name_H-M 'P -3 m 1'
_symmetry_Int_Tables_number 164
_symmetry_space_group_name_Hall '-P 3 2"'
loop_
_atom_site_label
_atom_site_type_symbol
_atom_site_fract_x
_atom_site_fract_y
_atom_site_fract_z
Rb1 Rb 0.0000 0.0000 0.0000
Rb2 Rb 0.3333 0.6667 0.6642
Cr1 Cr 0.3333 0.6667 0.1564
Cd1 Cd 0.0000 0.0000 0.5000
F1 F 0.0000 0.5000 0.0000
F2 F 0.1729 0.3457 0.3218
# Fermi-level density of states = 2.70 states/eV/cell

=====

Record 8
# RbCr2CdF8 | Alexandria via LeMat-Bulk | PBE+U | relaxed
data_RbCr2CdF8
_chemical_formula_sum 'Rb1 Cr2 Cd1 F8'
_cell_length_a 5.255
_cell_length_b 6.825
_cell_length_c 5.296
_cell_angle_alpha 90.00
_cell_angle_beta 92.13
_cell_angle_gamma 90.00
_symmetry_space_group_name_H-M 'P 1 2/m 1'
_symmetry_Int_Tables_number 10
loop_
_symmetry_equiv_pos_as_xyz
'x,y,z'
'-x,-y,-z'
'-x,y,-z'
'x,-y,z'
loop_
_atom_site_label
_atom_site_type_symbol
_atom_site_fract_x
_atom_site_fract_y
_atom_site_fract_z
Rb1 Rb 0.000 0.000 0.000
Cr1 Cr 0.500 0.257 0.500
Cd1 Cd 0.000 0.500 0.000
F1 F 0.241 0.285 0.225
F2 F 0.315 0.500 0.672
F3 F 0.338 0.000 0.645
# Fermi-level density of states = 0.85 states/eV/cell

=====

Record 9
# CrCdSbF2 | Alexandria via LeMat-Bulk | PBE+U | relaxed
data_CrCdSbF2
_chemical_formula_sum 'Cr1 Cd1 Sb1 F2'
_cell_length_a 4.054
_cell_length_b 4.054
_cell_length_c 6.085
_cell_angle_alpha 90.00
_cell_angle_beta 90.00
_cell_angle_gamma 90.00
_symmetry_space_group_name_H-M 'P 4/m m m'
_symmetry_Int_Tables_number 123
_symmetry_space_group_name_Hall '-P 4 2'
loop_
_atom_site_label
_atom_site_type_symbol
_atom_site_fract_x
_atom_site_fract_y
_atom_site_fract_z
Cr1 Cr 0.000 0.000 0.000
Cd1 Cd 0.500 0.500 0.500
Sb1 Sb 0.000 0.000 0.500
F1 F 0.000 0.500 0.000
# Fermi-level density of states = 1.71 states/eV/cell

=====

Record 10
# ScCrCdF6 | Alexandria via LeMat-Bulk | PBE+U | relaxed
data_ScCrCdF6
_chemical_formula_sum 'Sc2 Cr2 Cd2 F12'
_cell_length_a 5.6950
_cell_length_b 5.6950
_cell_length_c 9.6522
_cell_angle_alpha 90.00
_cell_angle_beta 90.00
_cell_angle_gamma 120.00
_symmetry_space_group_name_H-M 'P -3 1 c'
_symmetry_Int_Tables_number 163
_symmetry_space_group_name_Hall '-P 3 2c'
loop_
_atom_site_label
_atom_site_type_symbol
_atom_site_fract_x
_atom_site_fract_y
_atom_site_fract_z
Sc1 Sc 0.3333 0.6667 0.2500
Cr1 Cr 0.3333 0.6667 0.7500
Cd1 Cd 0.0000 0.0000 0.0000
F1 F 0.0366 0.3610 0.1335
# Fermi-level density of states = 10.49 states/eV/cell

=====

Record 11
# CrCdSnF6 | Alexandria via LeMat-Bulk | PBE+U | relaxed
data_CrCdSnF6
_chemical_formula_sum 'Cr2 Cd2 Sn2 F12'
_cell_length_a 5.7810
_cell_length_b 5.7810
_cell_length_c 10.0429
_cell_angle_alpha 90.00
_cell_angle_beta 90.00
_cell_angle_gamma 120.00
_symmetry_space_group_name_H-M 'P -3 1 c'
_symmetry_Int_Tables_number 163
_symmetry_space_group_name_Hall '-P 3 2c'
loop_
_atom_site_label
_atom_site_type_symbol
_atom_site_fract_x
_atom_site_fract_y
_atom_site_fract_z
Cr1 Cr 0.3333 0.6667 0.2500
Cd1 Cd 0.3333 0.6667 0.7500
Sn1 Sn 0.0000 0.0000 0.0000
F1 F 0.0220 0.3589 0.1369
# Fermi-level density of states = 9.80 states/eV/cell

=====

Record 12
# SrCrCdF6 | Alexandria via LeMat-Bulk | PBE+U | relaxed
data_SrCrCdF6
_chemical_formula_sum 'Sr2 Cr2 Cd2 F12'
_cell_length_a 5.9346
_cell_length_b 5.9346
_cell_length_c 9.2409
_cell_angle_alpha 90.00
_cell_angle_beta 90.00
_cell_angle_gamma 120.00
_symmetry_space_group_name_H-M 'P -3 1 c'
_symmetry_Int_Tables_number 163
_symmetry_space_group_name_Hall '-P 3 2c'
loop_
_atom_site_label
_atom_site_type_symbol
_atom_site_fract_x
_atom_site_fract_y
_atom_site_fract_z
Sr1 Sr 0.3333 0.6667 0.2500
Cr1 Cr 0.3333 0.6667 0.7500
Cd1 Cd 0.0000 0.0000 0.0000
F1 F 0.0435 0.3565 0.6282
# Fermi-level density of states = 8.47 states/eV/cell

=====

Record 13
# SrCr2CdF8 | Alexandria via LeMat-Bulk | PBE+U | relaxed
data_SrCr2CdF8
_chemical_formula_sum 'Sr1 Cr2 Cd1 F8'
_cell_length_a 4.071
_cell_length_b 5.439
_cell_length_c 8.030
_cell_angle_alpha 82.86
_cell_angle_beta 89.04
_cell_angle_gamma 82.73
_symmetry_space_group_name_H-M 'P -1'
_symmetry_Int_Tables_number 2
loop_
_symmetry_equiv_pos_as_xyz
'x,y,z'
'-x,-y,-z'
loop_
_atom_site_label
_atom_site_type_symbol
_atom_site_fract_x
_atom_site_fract_y
_atom_site_fract_z
Sr1 Sr 0.000 0.000 0.000
Cr1 Cr 0.499 0.495 0.732
Cd1 Cd 0.000 0.000 0.500
F1 F 0.081 0.744 0.291
F2 F 0.090 0.739 0.763
F3 F 0.434 0.256 0.472
F4 F 0.446 0.266 0.946
# Fermi-level density of states = 0.00 states/eV/cell

=====

Record 14
# CrCd2TcF | Alexandria via LeMat-Bulk | PBE+U | relaxed
data_CrCd2TcF
_chemical_formula_sum 'Cr1 Cd2 Tc1 F1'
_cell_length_a 5.330
_cell_length_b 5.330
_cell_length_c 4.651
_cell_angle_alpha 90.00
_cell_angle_beta 90.00
_cell_angle_gamma 90.00
_symmetry_space_group_name_H-M 'P 4/m m m'
_symmetry_Int_Tables_number 123
_symmetry_space_group_name_Hall '-P 4 2'
loop_
_atom_site_label
_atom_site_type_symbol
_atom_site_fract_x
_atom_site_fract_y
_atom_site_fract_z
Cr1 Cr 0.000 0.000 0.000
Cd1 Cd 0.000 0.500 0.000
Tc1 Tc 0.000 0.000 0.500
F1 F 0.500 0.500 0.500
# Fermi-level density of states = 1.83 states/eV/cell

=====

Record 15
# TlCr2CdF6 | Alexandria via LeMat-Bulk | PBE+U | relaxed
data_TlCr2CdF6
_chemical_formula_sum 'Tl1 Cr2 Cd1 F6'
_cell_length_a 6.020
_cell_length_b 6.031
_cell_length_c 6.033
_cell_angle_alpha 94.85
_cell_angle_beta 117.23
_cell_angle_gamma 117.21
_symmetry_space_group_name_H-M 'P 1'
_symmetry_Int_Tables_number 1
loop_
_symmetry_equiv_pos_as_xyz
'x,y,z'
loop_
_atom_site_label
_atom_site_type_symbol
_atom_site_fract_x
_atom_site_fract_y
_atom_site_fract_z
Tl1 Tl 0.000 0.000 0.000
Cr1 Cr 0.500 0.266 0.766
Cr2 Cr 0.501 0.767 0.266
Cd1 Cd 0.999 0.467 0.458
F1 F 0.045 0.519 0.056
F2 F 0.463 0.486 0.531
F3 F 0.475 0.005 0.504
F4 F 0.527 0.528 0.032
F5 F 0.538 0.066 0.020
F6 F 0.955 0.032 0.496
# Fermi-level density of states = 1.73 states/eV/cell

=====

Record 16
# Tl3Cr2CdF9 | Alexandria via LeMat-Bulk | PBE+U | relaxed
data_Tl3Cr2CdF9
_chemical_formula_sum 'Tl3 Cr2 Cd1 F9'
_cell_length_a 6.1355
_cell_length_b 6.1355
_cell_length_c 7.5213
_cell_angle_alpha 90.00
_cell_angle_beta 90.00
_cell_angle_gamma 120.00
_symmetry_space_group_name_H-M 'P -3 m 1'
_symmetry_Int_Tables_number 164
_symmetry_space_group_name_Hall '-P 3 2"'
loop_
_atom_site_label
_atom_site_type_symbol
_atom_site_fract_x
_atom_site_fract_y
_atom_site_fract_z
Tl1 Tl 0.0000 0.0000 0.0000
Tl2 Tl 0.3333 0.6667 0.6596
Cr1 Cr 0.3333 0.6667 0.1550
Cd1 Cd 0.0000 0.0000 0.5000
F1 F 0.0000 0.5000 0.0000
F2 F 0.1740 0.3481 0.3204
# Fermi-level density of states = 3.10 states/eV/cell

=====

Record 17
# Tl3CrCd2F9 | Alexandria via LeMat-Bulk | PBE+U | relaxed
data_Tl3CrCd2F9
_chemical_formula_sum 'Tl3 Cr1 Cd2 F9'
_cell_length_a 6.2471
_cell_length_b 6.2471
_cell_length_c 7.6216
_cell_angle_alpha 90.00
_cell_angle_beta 90.00
_cell_angle_gamma 120.00
_symmetry_space_group_name_H-M 'P -3 m 1'
_symmetry_Int_Tables_number 164
_symmetry_space_group_name_Hall '-P 3 2"'
loop_
_atom_site_label
_atom_site_type_symbol
_atom_site_fract_x
_atom_site_fract_y
_atom_site_fract_z
Tl1 Tl 0.0000 0.0000 0.0000
Tl2 Tl 0.3333 0.6667 0.6775
Cr1 Cr 0.0000 0.0000 0.5000
Cd1 Cd 0.3333 0.6667 0.1800
F1 F 0.0000 0.5000 0.0000
F2 F 0.1561 0.3122 0.3448
# Fermi-level density of states = 2.12 states/eV/cell

=====

Record 18
# Tl2Cr3CdF12 | Alexandria via LeMat-Bulk | PBE+U | relaxed
data_Tl2Cr3CdF12
_chemical_formula_sum 'Tl6 Cr9 Cd3 F36'
_cell_length_a 7.6590
_cell_length_b 7.6590
_cell_length_c 18.0558
_cell_angle_alpha 90.00
_cell_angle_beta 90.00
_cell_angle_gamma 120.00
_symmetry_space_group_name_H-M 'R -3 m'
_symmetry_Int_Tables_number 166
_symmetry_space_group_name_Hall '-R 3 2"'
loop_
_atom_site_label
_atom_site_type_symbol
_atom_site_fract_x
_atom_site_fract_y
_atom_site_fract_z
Tl1 Tl 0.0000 0.0000 0.1415
Cr1 Cr 0.0000 0.5000 0.0000
Cd1 Cd 0.0000 0.0000 0.5000
F1 F 0.0281 0.5140 0.1087
F2 F 0.0846 0.5423 0.3426
# Fermi-level density of states = 13.13 states/eV/cell

=====

Record 19
# VCrCdF6 | Alexandria via LeMat-Bulk | PBE+U | relaxed
data_VCrCdF6
_chemical_formula_sum 'V2 Cr2 Cd2 F12'
_cell_length_a 5.5351
_cell_length_b 5.5351
_cell_length_c 9.6034
_cell_angle_alpha 90.00
_cell_angle_beta 90.00
_cell_angle_gamma 120.00
_symmetry_space_group_name_H-M 'P -3 1 c'
_symmetry_Int_Tables_number 163
_symmetry_space_group_name_Hall '-P 3 2c'
loop_
_atom_site_label
_atom_site_type_symbol
_atom_site_fract_x
_atom_site_fract_y
_atom_site_fract_z
V1 V 0.3333 0.6667 0.2500
Cr1 Cr 0.3333 0.6667 0.7500
Cd1 Cd 0.0000 0.0000 0.0000
F1 F 0.0019 0.3464 0.6356
# Fermi-level density of states = 10.43 states/eV/cell

=====

Record 20
## ZnCr2CdF6 (PBE+U)

Data for ZnCr2CdF6 after structural relaxation.

The structure in CIF format:
```
data_ZnCr2CdF6
_chemical_formula_sum 'Zn1 Cr2 Cd1 F6'
_cell_length_a 5.653
_cell_length_b 5.765
_cell_length_c 5.909
_cell_angle_alpha 63.14
_cell_angle_beta 69.28
_cell_angle_gamma 65.48
_symmetry_space_group_name_H-M 'P 1'
_symmetry_Int_Tables_number 1
loop_
_symmetry_equiv_pos_as_xyz
'x,y,z'
loop_
_atom_site_label
_atom_site_type_symbol
_atom_site_fract_x
_atom_site_fract_y
_atom_site_fract_z
Zn1 Zn 0.000 0.000 0.000
Cr1 Cr 0.198 0.233 0.412
Cr2 Cr 0.713 0.632 0.938
Cd1 Cd 0.512 0.520 0.505
F1 F 0.024 0.406 0.699
F2 F 0.045 0.591 0.148
F3 F 0.189 0.034 0.203
F4 F 0.358 0.905 0.717
F5 F 0.638 0.269 0.103
F6 F 0.815 0.974 0.772
```

=====

| no. | magnetic moment (Bohr magnetons per cell) | DFT total energy (Ry per atom) |
| --- | --- | --- |
| 1 | 7.92 | -0.3780 |
| 2 | 1.97 | -0.3419 |
| 3 | 8.00 | -0.3497 |
| 4 | 4.07 | -0.3316 |
| 5 | 3.40 | -0.3767 |
| 6 | 8.00 | -0.3595 |
| 7 | 8.00 | -0.3625 |
| 8 | 7.00 | -0.3783 |
| 9 | 3.34 | -0.3405 |
| 10 | 9.76 | -0.4140 |
| 11 | 8.00 | -0.3581 |
| 12 | 7.99 | -0.3771 |
| 13 | 8.00 | -0.4058 |
| 14 | 0.55 | -0.2627 |
| 15 | 7.18 | -0.3720 |
| 16 | 8.00 | -0.3527 |
| 17 | 4.01 | -0.3165 |
| 18 | 30.00 | -0.3857 |
| 19 | 13.98 | -0.3961 |
| 20 | 7.99 | -0.3584 |